Below is crystalline CuNiSb2 at its relaxed geometry, with properties calculated at the PBEsol level.

Cell lengths 4.0393, 4.0393, 5.0487 Å; angles 90.00, 90.00, 120.00 degrees
Element x y z (fractional)
Sb (0.6667, 0.3333, 0.7285)
Sb (0.3333, 0.6667, 0.2715)
Cu (0.0000, 0.0000, 0.0000)
Ni (0.0000, 0.0000, 0.5000)

- Symmetry: P-3m1, No. 164
- Uncorrected formation energy: -0.1781 eV/atom
- Uncorrected energy: -5.080 eV per atom
- V: 71 Å³/cell
- Excess energy over the best structure of this formula in the dataset: 0.00 kcal/mol of atoms


Below is crystalline CuNiSb2 at its relaxed geometry, with properties calculated at the PBEsol level.

Cell lengths 3.9363, 3.9363, 6.2174 Å; angles 71.55, 71.55, 60.00 degrees
Element x y z (fractional)
Cu (0.5234, 0.5234, 0.4297)
Ni (0.2259, 0.2259, 0.3224)
Sb (0.9649, 0.9649, 0.1052)
Sb (0.7858, 0.7858, 0.6426)

- Symmetry: R3m, No. 160
- Uncorrected formation energy: -0.0105 eV/atom
- Uncorrected energy: -4.912 eV per atom
- V: 78 Å³/cell
- Excess energy over the best structure of this formula in the dataset: 3.86 kcal/mol of atoms


Below is crystalline CuNiSb2 at its relaxed geometry, with properties calculated at the PBEsol level.

Cell lengths 4.4436, 4.7327, 4.4436 Å; angles 62.00, 90.00, 118.00 degrees
Element x y z (fractional)
Cu (0.5000, 0.0000, 0.5000)
Ni (0.0000, 0.0000, 0.0000)
Sb (0.2500, 0.5000, 0.2500)
Sb (0.7500, 0.5000, 0.7500)

- Symmetry: I4/mmm, No. 139
- Uncorrected formation energy: 0.2045 eV/atom
- Uncorrected energy: -4.697 eV per atom
- V: 70 Å³/cell
- Excess energy over the best structure of this formula in the dataset: 8.82 kcal/mol of atoms


Below is crystalline CuNiSb at its relaxed geometry, with properties calculated at the PBEsol level.

Cell lengths 3.1769, 3.1769, 5.4125 Å; angles 90.00, 90.00, 120.00 degrees
Element x y z (fractional)
Cu (0.0000, 0.0000, 0.9737)
Ni (0.3333, 0.6667, 0.6747)
Sb (0.6667, 0.3333, 0.3517)

- Symmetry: P3m1, No. 156
- Uncorrected formation energy: 0.2645 eV/atom
- Uncorrected energy: -4.752 eV per atom
- V: 47 Å³/cell


Question: Which of these has the highest uncorrected energy?
Answer: number 3


Question: Number 4 is which compound?
Answer: CuNiSb


Question: Look up the V of the fourth one.
Answer: 47 Å³/cell


Question: Which formula does entry 2 have?
Answer: CuNiSb2